A plane-wave DFT calculation with PBE-GGA was carried out for MnZn4 after structural relaxation.

Its calculated total energy is -25.53 eV for the cell shown. The calculation puts the density of states at the Fermi level at 4.00 states/eV/f.u. For the energy of formation, the calculation gives 29.0 kJ/mol of atoms. The relative energy among the computed polymorphs comes out at 253.8 meV per atom.

The space group is Im-3m (No. 229) and the conventional cell measures 5.740, 5.740 and 5.740 Å, with angles of 90.00, 90.00 and 90.00 degrees. The inequivalent atoms are Mn at (0.000, 0.000, 0.000) and Zn at (0.250, 0.250, 0.250).